# 1
Th11In9Pt4 (GGA-PBE, optimized geometry); total magnetization = 0.00 μB/cell; calculated formation energy = -612 meV per atom; electronic total energy = -145.11 eV per cell
1.0
-2.449 2.826 -0.751
-2.119 -5.133 -12.400
-8.593 -4.981 9.271
In Pt Th
9 4 11
direct
0.500 0.500 0.500
0.500 0.637 0.158
0.500 0.158 0.637
0.500 0.842 0.363
0.500 0.075 0.217
0.500 0.925 0.783
0.500 0.217 0.075
0.500 0.783 0.925
0.500 0.363 0.842
0.500 0.752 0.550
0.500 0.248 0.450
0.500 0.450 0.248
0.500 0.550 0.752
0.000 0.414 0.068
0.000 0.000 0.000
0.000 0.690 0.690
0.000 0.310 0.310
0.000 0.372 0.628
0.000 0.155 0.845
0.000 0.068 0.414
0.000 0.586 0.932
0.000 0.628 0.372
0.000 0.932 0.586
0.000 0.845 0.155

***

# 2
ThInPt4 (GGA-PBE, optimized geometry); total magnetization = 0.00 μB/cell; calculated formation energy = -876 meV per atom; electronic total energy = -39.58 eV per cell
1.0
-3.638 3.221 2.484
-5.342 -0.895 -0.668
-2.981 -1.938 4.140
Pt In Th
4 1 1
direct
0.626 0.626 0.123
0.626 0.123 0.626
0.123 0.626 0.626
0.626 0.626 0.626
0.000 0.000 0.000
0.250 0.250 0.250

***

# 3
Th2InPt (GGA-PBE, optimized geometry); total magnetization = 0.00 μB/cell; calculated formation energy = -661 meV per atom; electronic total energy = -26.26 eV per cell; offset from the most stable computed form = 0.000 eV/atom
1.0
-0.013 0.944 -3.340
1.865 -2.815 -0.803
-7.319 -4.495 -1.242
Th In Pt
2 1 1
direct
0.000 0.000 0.779
0.000 0.000 0.221
0.500 0.500 0.500
0.500 0.500 0.000

***

# 4
Th2InPt9 (GGA-PBE, optimized geometry); total magnetization = 0.00 μB/cell; calculated formation energy = -880 meV per atom; electronic total energy = -82.50 eV per cell; offset from the most stable computed form = 0.000 eV/atom
1.0
4.196 0.000 0.000
0.000 4.196 0.000
0.000 0.000 12.414
Pt Th In
9 2 1
direct
0.500 0.000 0.841
0.000 0.500 0.841
0.500 0.000 0.500
0.500 0.500 0.328
0.500 0.500 0.672
0.000 0.500 0.500
0.500 0.500 0.000
0.000 0.500 0.159
0.500 0.000 0.159
0.000 0.000 0.327
0.000 0.000 0.673
0.000 0.000 0.000